Record 1
{
  "formula": "AlSiTc",
  "functional": "PBE-GGA",
  "state": "relaxed",
  "e_form_raw_ev_per_atom": -0.63,
  "total_energy_ha_per_atom": -0.263,
  "mass_density_g_cm3": 6.23,
  "e_above_lowest_polymorph_ev_per_atom": 0.000,
  "total_magnetization_mub_per_atom": 0.000,
  "cell": [[-1.586, 1.586, 4.059], [1.586, -1.586, 4.059], [1.586, 1.586, -4.059]],
  "species": ["Al", "Si", "Tc"],
  "frac_coords": [[0.000, 0.000, 0.000], [0.676, 0.676, 0.000], [0.326, 0.326, 0.000]]
}

---

Record 2
{
  "formula": "PRuBr",
  "functional": "PBE-GGA",
  "state": "relaxed",
  "e_form_raw_ev_per_atom": 0.27,
  "total_energy_ha_per_atom": -0.191,
  "mass_density_g_cm3": 6.54,
  "e_above_lowest_polymorph_ev_per_atom": 0.564,
  "total_magnetization_mub_per_atom": 0.000,
  "cell": [[0.000, 2.996, 2.996], [2.996, 0.000, 2.996], [2.996, 2.996, 0.000]],
  "species": ["P", "Ru", "Br"],
  "frac_coords": [[0.000, 0.000, 0.000], [0.250, 0.250, 0.250], [0.500, 0.500, 0.500]]
}

---

Record 3
{
  "formula": "ZnBi2Pb",
  "functional": "PBE-GGA",
  "state": "relaxed",
  "ef_mev_per_atom": 134,
  "total_energy_ha_per_atom": -0.112,
  "mass_density_g_cm3": 10.17,
  "total_magnetization_mub_per_atom": 0.000,
  "cell": [[3.842, 0.000, 0.000], [0.000, 3.842, 0.000], [0.000, 0.000, 7.636]],
  "species": ["Zn", "Bi", "Bi", "Pb"],
  "frac_coords": [[0.000, 0.000, 0.000], [0.500, 0.500, 0.213], [0.500, 0.500, 0.787], [0.000, 0.000, 0.500]]
}